Entry 1:
## In2SiSe (PBE-GGA)

Data for crystalline In2SiSe at its relaxed geometry.

a b c (Å): 3.4774 3.4774 28.4873
angles (deg): 90.00 90.00 120.00
Last column: nearest neighbours and their distance in Å.
Space group R3m (No. 160, hexagonal axes)
Symmetry-distinct sites (fractional):
In 0.0000 0.0000 0.0000 (multiplicity 3)  3 Si 3.05, 3 In 3.32
In 0.0000 0.0000 0.2404 (multiplicity 3)  9 In 3.32-3.48, 3 Se 3.69
Si 0.0000 0.0000 0.7475 (multiplicity 3)  3 Se 2.47
Se 0.0000 0.0000 0.4649 (multiplicity 3)  3 Si 2.47

Results
The density of states at the Fermi level comes out at 0.739 states/eV/atom. For the uncorrected formation energy, the calculation gives 30 meV/atom. The energy above the most stable polymorph in this dataset is 183.7 meV/atom. The total energy is -42.788 eV/cell. The size of the total moment comes out at 0.0 μB per cell.



Entry 2:
## In2Si2Se (PBE-GGA)

Data for crystalline In2Si2Se at its relaxed geometry.

a b c (Å): 3.6046 3.6046 16.7042
angles (deg): 90.00 90.00 90.00
Last column: nearest neighbours and their distance in Å.
Space group I4/mmm (No. 139)
Symmetry-distinct sites (fractional):
In 0.0000 0.0000 0.1021 (multiplicity 4)  4 Si 3.06, 4 Se 3.07, 1 In 3.41
Si 0.0000 0.5000 0.2500 (multiplicity 4)  4 Si 2.55
Se 0.0000 0.0000 0.5000 (multiplicity 2)  8 In 3.07

Results
The density of states at the Fermi level comes out at 0.456 states/eV/atom. For the uncorrected formation energy, the calculation gives 131 meV/atom. The total energy is -38.306 eV/cell. The size of the total moment comes out at 0.0 μB per cell.



Entry 3:
## In2SiSe (PBE-GGA)

Data for crystalline In2SiSe at its relaxed geometry.

a b c (Å): 5.1093 5.1093 3.4692
angles (deg): 90.00 90.00 90.00
Last column: nearest neighbours and their distance in Å.
Space group P4/mmm (No. 123)
Symmetry-distinct sites (fractional):
In 0.0000 0.5000 0.0000 (multiplicity 2)  4 Se 3.09, 4 Si 3.09
Si 0.0000 0.0000 0.5000 (multiplicity 1)  8 In 3.09
Se 0.5000 0.5000 0.5000 (multiplicity 1)  8 In 3.09

Results
The density of states at the Fermi level comes out at 0.396 states/eV/atom. For the uncorrected formation energy, the calculation gives 192 meV/atom. The energy above the most stable polymorph in this dataset is 345.5 meV/atom. The total energy is -13.616 eV/cell. The size of the total moment comes out at 0.0 μB per cell.



Entry 4:
## In2SiSe (PBE-GGA)

Data for crystalline In2SiSe at its relaxed geometry.

a b c (Å): 3.6262 4.9673 5.1073
angles (deg): 90.00 90.00 90.00
Last column: nearest neighbours and their distance in Å.
Space group Pmmm (No. 47)
Symmetry-distinct sites (fractional):
In 0.0000 0.0000 0.0000 (multiplicity 1)  4 In 3.08, 4 Se 3.13
In 0.5000 0.5000 0.0000 (multiplicity 1)  4 In 3.08, 4 Si 3.13
Si 0.0000 0.5000 0.5000 (multiplicity 1)  4 Se 3.08, 4 In 3.13
Se 0.5000 0.0000 0.5000 (multiplicity 1)  4 Si 3.08, 4 In 3.13

Results
The density of states at the Fermi level comes out at 0.326 states/eV/atom. For the uncorrected formation energy, the calculation gives 256 meV/atom. The energy above the most stable polymorph in this dataset is 409.6 meV/atom. The total energy is -13.359 eV/cell. The size of the total moment comes out at 0.0 μB per cell.



Entry 5:
## InSi4Se (PBE-GGA)

Data for crystalline InSi4Se at its relaxed geometry.

a b c (Å): 7.5557 7.5557 7.5557
angles (deg): 90.00 90.00 90.00
Last column: nearest neighbours and their distance in Å.
Space group F-43m (No. 216)
Symmetry-distinct sites (fractional):
In 0.0000 0.0000 0.0000 (multiplicity 4)  12 Si 3.13, 4 Se 3.27
Si 0.1247 0.1247 0.3753 (multiplicity 16)  6 Si 2.66-2.68
Se 0.2500 0.2500 0.7500 (multiplicity 4)  12 Si 3.13, 4 In 3.27

Results
The density of states at the Fermi level comes out at 0.423 states/eV/atom. For the uncorrected formation energy, the calculation gives 504 meV/atom. The total energy is -99.554 eV/cell. The size of the total moment comes out at 0.0 μB per cell.



Entry 6:
## In2SiSe (PBE-GGA)

Data for crystalline In2SiSe at its relaxed geometry.

a b c (Å): 3.8069 3.9400 6.8130
angles (deg): 90.00 90.00 90.00
Last column: nearest neighbours and their distance in Å.
Space group Pmm2 (No. 25)
Symmetry-distinct sites (fractional):
In 0.0000 0.0000 0.0000 (multiplicity 1)  4 Si 2.77, 1 Se 2.80
In 0.5000 0.5000 0.4547 (multiplicity 1)  1 Si 2.66, 4 Se 2.89
Si 0.5000 0.5000 0.0637 (multiplicity 1)  5 In 2.66-2.77
Se 0.0000 0.0000 0.5893 (multiplicity 1)  5 In 2.80-2.89

Results
The density of states at the Fermi level comes out at 0.290 states/eV/atom. For the uncorrected formation energy, the calculation gives -12 meV/atom. The energy above the most stable polymorph in this dataset is 141.8 meV/atom. The total energy is -14.431 eV/cell. The size of the total moment comes out at 0.0 μB per cell.



Entry 7:
## InSiSe (PBE-GGA)

Data for crystalline InSiSe at its relaxed geometry.

a b c (Å): 6.6585 6.6585 6.6585
angles (deg): 90.00 90.00 90.00
Last column: nearest neighbours and their distance in Å.
Space group F-43m (No. 216)
Symmetry-distinct sites (fractional):
In 0.0000 0.0000 0.0000 (multiplicity 4)  4 Si 2.88
Si 0.2500 0.2500 0.7500 (multiplicity 4)  4 In 2.88, 4 Se 2.88
Se 0.0000 0.0000 0.5000 (multiplicity 4)  4 Si 2.88

Results
The density of states at the Fermi level comes out at 0.719 states/eV/atom. For the uncorrected formation energy, the calculation gives 341 meV/atom. The total energy is -42.492 eV/cell. The size of the total moment comes out at 0.0 μB per cell.



Entry 8:
## InSiSe (PBE-GGA)

Data for crystalline InSiSe at its relaxed geometry.

a b c (Å): 3.3895 6.3546 14.4433
angles (deg): 90.00 90.00 90.00
Last column: nearest neighbours and their distance in Å.
Space group Fmm2 (No. 42)
Symmetry-distinct sites (fractional):
In 0.0000 0.0000 0.0000 (multiplicity 4)  2 Si 3.10, 2 In 3.39, 2 Se 3.44
Si 0.0000 0.0000 0.6801 (multiplicity 4)  2 Se 2.35
Se 0.0000 0.0000 0.2928 (multiplicity 4)  2 Si 2.35

Results
The density of states at the Fermi level comes out at 0.319 states/eV/atom. For the uncorrected formation energy, the calculation gives 214 meV/atom. The total energy is -44.012 eV/cell. The size of the total moment comes out at 0.0 μB per cell.



Entry 9:
## In2SiSe (PBE-GGA)

Data for crystalline In2SiSe at its relaxed geometry.

a b c (Å): 4.1391 4.1391 11.0366
angles (deg): 90.00 90.00 90.00
Last column: nearest neighbours and their distance in Å.
Space group I-4m2 (No. 119)
Symmetry-distinct sites (fractional):
In 0.0000 0.0000 0.0000 (multiplicity 2)  4 Si 2.93
In 0.0000 0.5000 0.2500 (multiplicity 2)  4 Se 2.93
Si 0.0000 0.0000 0.5000 (multiplicity 2)  4 In 2.93
Se 0.0000 0.5000 0.7500 (multiplicity 2)  4 In 2.93

Results
The density of states at the Fermi level comes out at 0.512 states/eV/atom. For the uncorrected formation energy, the calculation gives 232 meV/atom. The energy above the most stable polymorph in this dataset is 385.4 meV/atom. The total energy is -26.912 eV/cell. The size of the total moment comes out at 0.0 μB per cell.



Entry 10:
## InSiSe (PBE-GGA)

Data for crystalline InSiSe at its relaxed geometry.

a b c (Å): 3.4384 3.4384 11.6487
angles (deg): 90.00 90.00 90.00
Last column: nearest neighbours and their distance in Å.
Space group I4mm (No. 107)
Symmetry-distinct sites (fractional):
In 0.0000 0.0000 0.0000 (multiplicity 2)  5 Se 3.21-3.57, 4 Si 3.24, 4 In 3.44
Si 0.0000 0.0000 0.3163 (multiplicity 2)  4 Se 2.66
Se 0.0000 0.0000 0.7246 (multiplicity 2)  4 Si 2.66

Results
The density of states at the Fermi level comes out at 0.202 states/eV/atom. For the uncorrected formation energy, the calculation gives 131 meV/atom. The total energy is -22.505 eV/cell. The size of the total moment comes out at 0.0 μB per cell.



Entry 11:
## InSiSe (PBE-GGA)

Data for crystalline InSiSe at its relaxed geometry.

a b c (Å): 6.7294 6.7294 6.7294
angles (deg): 90.00 90.00 90.00
Last column: nearest neighbours and their distance in Å.
Space group F-43m (No. 216)
Symmetry-distinct sites (fractional):
In 0.0000 0.0000 0.0000 (multiplicity 4)  4 Se 2.91, 4 Si 2.91
Si 0.2500 0.2500 0.7500 (multiplicity 4)  4 In 2.91
Se 0.2500 0.2500 0.2500 (multiplicity 4)  4 In 2.91

Results
The density of states at the Fermi level comes out at 0.845 states/eV/atom. For the uncorrected formation energy, the calculation gives 499 meV/atom. The total energy is -40.593 eV/cell. The size of the total moment comes out at 0.0 μB per cell.



Entry 12:
## InSiSe4 (PBE-GGA)

Data for crystalline InSiSe4 at its relaxed geometry.

a b c (Å): 5.8781 5.8781 10.2167
angles (deg): 90.00 90.00 90.00
Last column: nearest neighbours and their distance in Å.
Space group P-42c (No. 112)
Symmetry-distinct sites (fractional):
In 0.0000 0.0000 0.0000 (multiplicity 2)  4 Se 2.63
Si 0.0000 0.5000 0.2500 (multiplicity 2)  4 Se 2.30
Se 0.2549 0.2860 0.3674 (multiplicity 8)  1 Si 2.30

Results
The density of states at the Fermi level comes out at 0.952 states/eV/atom. For the uncorrected formation energy, the calculation gives -323 meV/atom. The energy above the most stable polymorph in this dataset is 0.0 meV/atom. The total energy is -48.079 eV/cell. The size of the total moment comes out at 0.0 μB per cell.



> Which value of size of the total moment does entry 11 give?

0.0 μB per cell



Repeat the first record exactly.
## In2SiSe (PBE-GGA)

Data for crystalline In2SiSe at its relaxed geometry.

a b c (Å): 3.4774 3.4774 28.4873
angles (deg): 90.00 90.00 120.00
Last column: nearest neighbours and their distance in Å.
Space group R3m (No. 160, hexagonal axes)
Symmetry-distinct sites (fractional):
In 0.0000 0.0000 0.0000 (multiplicity 3)  3 Si 3.05, 3 In 3.32
In 0.0000 0.0000 0.2404 (multiplicity 3)  9 In 3.32-3.48, 3 Se 3.69
Si 0.0000 0.0000 0.7475 (multiplicity 3)  3 Se 2.47
Se 0.0000 0.0000 0.4649 (multiplicity 3)  3 Si 2.47

Results
The density of states at the Fermi level comes out at 0.739 states/eV/atom. For the uncorrected formation energy, the calculation gives 30 meV/atom. The energy above the most stable polymorph in this dataset is 183.7 meV/atom. The total energy is -42.788 eV/cell. The size of the total moment comes out at 0.0 μB per cell.